# 1
6
Lattice="0.000 4.289 4.289 4.289 0.000 4.289 4.289 4.289 0.000" Properties=species:S:1:pos:R:3 comment="LiPuIn4, optimized geometry, DFT PBE" total_energy_ev_per_atom=-4.57 space_group="F-43m (216)" pbc="T T T"
Li 0.000 0.000 0.000
Pu 2.145 2.145 2.145
In 5.361 3.217 3.217
In 3.217 5.361 3.217
In 3.217 3.217 5.361
In 5.361 5.361 5.361

***

# 2
6
Lattice="4.484 0.000 0.000 0.000 4.484 0.000 0.000 0.000 8.224" Properties=species:S:1:pos:R:3 comment="LiPuIn4, optimized geometry, DFT PBE" total_energy_ev_per_atom=-4.45 space_group="P4/mmm (123)" pbc="T T T"
Li 0.000 0.000 0.000
Pu 2.242 2.242 4.112
In 0.000 2.242 1.667
In 0.000 2.242 6.558
In 2.242 0.000 1.667
In 2.242 0.000 6.558

***

# 3
6
Lattice="3.250 0.000 0.000 0.000 4.392 0.000 -0.210 0.000 10.206" Properties=species:S:1:pos:R:3 comment="LiPuIn4, optimized geometry, DFT PBE" total_energy_ev_per_atom=-4.66 space_group="P2/m (10)" pbc="T T T"
Li 0.000 0.000 0.000
Pu 1.520 2.196 5.103
In -0.124 0.000 7.086
In 1.425 2.196 8.690
In 1.616 2.196 1.516
In 3.165 0.000 3.120